Entry 1:
Computed, not measured: a geometry-optimized Si2Os structure at the PBE level of DFT.

For the formation energy from raw total energies, the calculation gives 419.4 meV per atom.

Unit cell a=4.6535 b=4.6535 c=10.1286 alpha=90.00 beta=90.00 gamma=120.00
Closest atoms and distances in Å follow each position.
Fractional coordinates of all 12 atoms:
Si1 0.0000 0.0000 0.0000  6 Os 2.74, 6 Si 2.85
Si2 0.0000 0.0000 0.5000  6 Os 2.74, 6 Si 2.85
Si3 0.1631 0.3262 0.2500  4 Si 2.28-2.38, 2 Os 2.41
Si4 0.1631 0.8369 0.2500  4 Si 2.28-2.38, 2 Os 2.41
Si5 0.3262 0.1631 0.7500  4 Si 2.28-2.38, 2 Os 2.41
Si6 0.6738 0.8369 0.2500  4 Si 2.28-2.38, 2 Os 2.41
Si7 0.8369 0.1631 0.7500  4 Si 2.28-2.38, 2 Os 2.41
Si8 0.8369 0.6738 0.7500  4 Si 2.28-2.38, 2 Os 2.41
Os1 0.3333 0.6667 0.0546  3 Si 2.41
Os2 0.3333 0.6667 0.4454  3 Si 2.41
Os3 0.6667 0.3333 0.5546  3 Si 2.41
Os4 0.6667 0.3333 0.9454  3 Si 2.41


Entry 2:
Computed, not measured: a geometry-optimized SrDy3B4O12 structure at the PBE level of DFT.

For the formation energy from raw total energies, the calculation gives -2930.2 meV per atom.

Unit cell a=6.5991 b=6.5991 c=6.5991 alpha=102.11 beta=102.11 gamma=102.11
Closest atoms and distances in Å follow each position.
Fractional coordinates of all 20 atoms:
Sr1 0.0000 0.0000 0.0000  6 O 2.61
Dy1 0.0000 0.5398 0.4602  6 O 2.23-2.31
Dy2 0.4602 0.0000 0.5398  6 O 2.23-2.31
Dy3 0.5398 0.4602 0.0000  6 O 2.23-2.31
B1 0.0414 0.5000 0.9586  3 O 1.38-1.39
B2 0.5000 0.5000 0.5000  3 O 1.39
B3 0.5000 0.9586 0.0414  3 O 1.38-1.39
B4 0.9586 0.0414 0.5000  3 O 1.38-1.39
O1 0.0232 0.6198 0.8115  1 B 1.38
O2 0.0939 0.9061 0.5000  1 B 1.39
O3 0.1885 0.3802 0.9768  1 B 1.38
O4 0.3650 0.6350 0.5000  1 B 1.39
O5 0.3802 0.9768 0.1885  1 B 1.38
O6 0.5000 0.0939 0.9061  1 B 1.39
O7 0.5000 0.3650 0.6350  1 B 1.39
O8 0.6198 0.8115 0.0232  1 B 1.38
O9 0.6350 0.5000 0.3650  1 B 1.39
O10 0.8115 0.0232 0.6198  1 B 1.38
O11 0.9061 0.5000 0.0939  1 B 1.39
O12 0.9768 0.1885 0.3802  1 B 1.38


Entry 3:
Computed, not measured: a geometry-optimized Na3TeO4 structure at the PBE level of DFT.

The excess energy over the best structure of this formula in the dataset comes out at 0.049 eV per atom. For the formation energy from raw total energies, the calculation gives -1354.2 meV per atom.

Unit cell a=5.1548 b=5.1548 c=5.1548 alpha=90.00 beta=90.00 gamma=90.00
Closest atoms and distances in Å follow each position.
Fractional coordinates of all 8 atoms:
Na1 0.0000 0.0000 0.5000  4 O 2.35
Na2 0.0000 0.5000 0.0000  4 O 2.35
Na3 0.5000 0.0000 0.0000  4 O 2.35
Te1 0.5000 0.5000 0.5000  4 O 1.94
O1 0.2826 0.2826 0.7174  1 Te 1.94
O2 0.2826 0.7174 0.2826  1 Te 1.94
O3 0.7174 0.2826 0.2826  1 Te 1.94
O4 0.7174 0.7174 0.7174  1 Te 1.94


Entry 4:
Computed, not measured: a geometry-optimized Ca2ZrGa2 structure at the PBE level of DFT.

For the formation enthalpy at 0 K, the calculation gives -0.2125 eV per atom.

Unit cell a=7.2818 b=7.2818 c=4.7917 alpha=90.00 beta=90.00 gamma=90.00
Closest atoms and distances in Å follow each position.
Fractional coordinates of all 10 atoms:
Ca1 0.1740 0.3260 0.0000  6 Ga 3.14-3.28
Ca2 0.3260 0.8260 0.0000  6 Ga 3.14-3.28
Ca3 0.6740 0.1740 0.0000  6 Ga 3.14-3.28
Ca4 0.8260 0.6740 0.0000  6 Ga 3.14-3.28
Zr1 0.0000 0.0000 0.5000  4 Ga 2.86
Zr2 0.5000 0.5000 0.5000  4 Ga 2.86
Ga1 0.1294 0.6294 0.5000  1 Ga 2.66, 2 Zr 2.86
Ga2 0.3706 0.1294 0.5000  1 Ga 2.66, 2 Zr 2.86
Ga3 0.6294 0.8706 0.5000  1 Ga 2.66, 2 Zr 2.86
Ga4 0.8706 0.3706 0.5000  1 Ga 2.66, 2 Zr 2.86


Entry 5:
Computed, not measured: a geometry-optimized LaPu2ReN4 structure at the PBE level of DFT.

For the formation energy from raw total energies, the calculation gives -926.8 meV per atom.

Unit cell a=6.2166 b=6.2166 c=11.6703 alpha=90.00 beta=90.00 gamma=148.39
Closest atoms and distances in Å follow each position.
Fractional coordinates of all 16 atoms:
La1 0.1091 0.8909 0.7500  6 N 2.54-2.75
La2 0.8909 0.1091 0.2500  6 N 2.54-2.75
Pu1 0.3682 0.6318 0.5463  5 N 2.30-2.46
Pu2 0.3682 0.6318 0.9537  5 N 2.30-2.46
Pu3 0.6318 0.3682 0.0463  5 N 2.30-2.46
Pu4 0.6318 0.3682 0.4537  5 N 2.30-2.46
Re1 0.1506 0.8494 0.2500  4 N 2.04-2.08
Re2 0.8494 0.1506 0.7500  4 N 2.04-2.08
N1 0.0000 0.0000 0.0000  4 Pu 2.38
N2 0.0000 0.0000 0.5000  4 Pu 2.38
N3 0.2634 0.7366 0.1187  1 Re 2.04
N4 0.2634 0.7366 0.3813  1 Re 2.04
N5 0.4509 0.5491 0.7500  2 Re 2.08
N6 0.5491 0.4509 0.2500  2 Re 2.08
N7 0.7366 0.2634 0.6187  1 Re 2.04
N8 0.7366 0.2634 0.8813  1 Re 2.04


Entry 6:
Computed, not measured: a geometry-optimized YCuF5 structure at the PBE level of DFT.

The excess energy over the best structure of this formula in the dataset comes out at 0.000 eV per atom. For the formation energy from raw total energies, the calculation gives -2973.1 meV per atom.

Unit cell a=5.6626 b=5.6626 c=7.2725 alpha=107.55 beta=107.55 gamma=78.47
Closest atoms and distances in Å follow each position.
Fractional coordinates of all 14 atoms:
Y1 0.0589 0.9411 0.7500  7 F 2.18-2.34
Y2 0.9411 0.0589 0.2500  7 F 2.18-2.34
Cu1 0.5000 0.5000 0.0000  4 F 1.89-2.00
Cu2 0.5000 0.5000 0.5000  4 F 1.89-2.00
F1 0.1580 0.8116 0.0367  2 Y 2.24-2.29, 1 Cu 2.37
F2 0.1884 0.8420 0.4633  2 Y 2.24-2.29, 1 Cu 2.37
F3 0.2296 0.3093 0.3752  1 Cu 1.89
F4 0.3093 0.2296 0.8752  1 Cu 1.89
F5 0.3852 0.6148 0.7500  2 Cu 2.00
F6 0.6148 0.3852 0.2500  2 Cu 2.00
F7 0.6907 0.7704 0.1248  1 Cu 1.89
F8 0.7704 0.6907 0.6248  1 Cu 1.89
F9 0.8116 0.1580 0.5367  2 Y 2.24-2.29, 1 Cu 2.37
F10 0.8420 0.1884 0.9633  2 Y 2.24-2.29, 1 Cu 2.37


Entry 7:
Computed, not measured: a geometry-optimized Th4TcAsSe2 structure at the PBE level of DFT.

For the formation energy from raw total energies, the calculation gives -1135.4 meV per atom.

Unit cell a=7.4177 b=4.1497 c=7.4273 alpha=90.00 beta=108.43 gamma=90.00
Closest atoms and distances in Å follow each position.
Fractional coordinates of all 8 atoms:
Th1 0.2233 0.0000 0.2271  2 Tc 2.85, 1 As 3.00, 3 Se 3.04-3.16
Th2 0.2338 0.5000 0.7575  1 Tc 2.87, 2 As 2.98, 3 Se 3.03-3.15
Th3 0.7662 0.5000 0.2425  1 Tc 2.87, 2 As 2.98, 3 Se 3.03-3.15
Th4 0.7767 0.0000 0.7729  2 Tc 2.85, 1 As 3.00, 3 Se 3.04-3.16
Tc1 0.0000 0.5000 0.0000  6 Th 2.85-2.87
As1 0.0000 0.0000 0.5000  6 Th 2.98-3.00
Se1 0.5000 0.0000 0.0000  6 Th 3.03-3.04
Se2 0.5000 0.5000 0.5000  6 Th 3.15-3.16


Entry 8:
Computed, not measured: a geometry-optimized ErH6Rh2 structure at the PBE level of DFT.

The excess energy over the best structure of this formula in the dataset comes out at 0.075 eV per atom.

Unit cell a=4.5580 b=4.5580 c=6.1599 alpha=116.13 beta=116.13 gamma=47.06
Closest atoms and distances in Å follow each position.
Fractional coordinates of all 9 atoms:
Er1 0.0000 0.0000 0.0000  6 H 2.15-2.26
H1 0.0034 0.0034 0.6537  2 Rh 1.71-1.78, 1 H 1.87
H2 0.2923 0.2923 0.3775  2 Rh 1.82
H3 0.3243 0.3243 0.9448  1 Rh 1.68
H4 0.6757 0.6757 0.0552  1 Rh 1.68
H5 0.7077 0.7077 0.6225  2 Rh 1.82
H6 0.9966 0.9966 0.3463  2 Rh 1.71-1.78, 1 H 1.87
Rh1 0.2007 0.2007 0.6350  5 H 1.68-1.82
Rh2 0.7993 0.7993 0.3650  5 H 1.68-1.82


Entry 9:
Computed, not measured: a geometry-optimized NaZnAgSn structure at the PBE level of DFT.

For the formation enthalpy at 0 K, the calculation gives -0.0325 eV per atom.

Unit cell a=4.8966 b=4.8966 c=4.8966 alpha=60.00 beta=60.00 gamma=60.00
Closest atoms and distances in Å follow each position.
Fractional coordinates of all 4 atoms:
Na1 0.0000 0.0000 0.0000  4 Zn 3.00, 4 Ag 3.00
Zn1 0.7500 0.7500 0.7500  4 Sn 3.00, 4 Na 3.00
Ag1 0.2500 0.2500 0.2500  4 Sn 3.00, 4 Na 3.00
Sn1 0.5000 0.5000 0.5000  4 Zn 3.00, 4 Ag 3.00


Entry 10:
Computed, not measured: a geometry-optimized Dy6InSe2S3 structure at the PBE level of DFT.

For the formation energy from raw total energies, the calculation gives -1619.3 meV per atom.

Unit cell a=9.0747 b=9.0747 c=8.2713 alpha=103.28 beta=103.28 gamma=25.12
Closest atoms and distances in Å follow each position.
Fractional coordinates of all 12 atoms:
Dy1 0.0024 0.0024 0.2303  3 S 2.74-2.85, 1 Se 2.97, 2 In 2.99
Dy2 0.3281 0.3281 0.4277  3 S 2.76-2.80, 1 In 2.96, 2 Se 2.97
Dy3 0.3390 0.3390 0.9049  3 S 2.76-2.77, 3 Se 2.92-2.93
Dy4 0.6610 0.6610 0.0951  3 S 2.76-2.77, 3 Se 2.92-2.93
Dy5 0.6719 0.6719 0.5723  3 S 2.76-2.80, 1 In 2.96, 2 Se 2.97
Dy6 0.9976 0.9976 0.7697  3 S 2.74-2.85, 1 Se 2.97, 2 In 2.99
In1 0.5000 0.5000 0.5000  6 Dy 2.96-2.99
Se1 0.1699 0.1699 0.8388  6 Dy 2.92-2.97
Se2 0.8301 0.8301 0.1612  6 Dy 2.92-2.97
S1 0.1678 0.1678 0.3310  6 Dy 2.76-2.85
S2 0.5000 0.5000 0.0000  6 Dy 2.74-2.77
S3 0.8322 0.8322 0.6690  6 Dy 2.76-2.85


Entry 11:
Computed, not measured: a geometry-optimized HgTeMo2H structure at the PBE level of DFT.

The total DFT energy (no corrections) is -4.8741 eV per atom.

Unit cell a=4.1167 b=4.1167 c=4.7836 alpha=90.00 beta=90.00 gamma=90.00
Closest atoms and distances in Å follow each position.
Fractional coordinates of all 5 atoms:
Hg1 0.0000 0.0000 0.0000  4 Te 2.91, 8 Mo 3.16
Te1 0.5000 0.5000 0.0000  2 H 2.39
Mo1 0.0000 0.5000 0.5000  2 H 2.06
Mo2 0.5000 0.0000 0.5000  2 H 2.06
H1 0.5000 0.5000 0.5000  4 Mo 2.06


Entry 12:
Computed, not measured: a geometry-optimized Ca2PmSnTe4 structure at the PBE level of DFT.

For the formation energy from raw total energies, the calculation gives -1191.6 meV per atom.

Unit cell a=7.8065 b=4.4813 c=7.8761 alpha=90.00 beta=109.26 gamma=90.00
Closest atoms and distances in Å follow each position.
Fractional coordinates of all 8 atoms:
Ca1 0.0000 0.0000 0.0000  6 Te 3.18-3.20
Ca2 0.0000 0.5000 0.5000  6 Te 3.19-3.20
Pm1 0.5000 0.0000 0.5000  6 Te 3.19-3.20
Sn1 0.5000 0.5000 0.0000  6 Te 3.19
Te1 0.2502 0.0000 0.7497  3 Ca 3.19-3.20, 2 Sn 3.19, 1 Pm 3.19
Te2 0.2497 0.5000 0.2484  3 Ca 3.18-3.20, 1 Sn 3.19, 2 Pm 3.20
Te3 0.7498 0.0000 0.2503  3 Ca 3.19-3.20, 2 Sn 3.19, 1 Pm 3.19
Te4 0.7503 0.5000 0.7516  3 Ca 3.18-3.20, 1 Sn 3.19, 2 Pm 3.20